# 1
# LaFe2W PBE-GGA optimized geometry
data_LaFe2W
_chemical_formula_sum 'La1 Fe2 W1'
_space_group_name_H-M_alt 'P 1'
_space_group_IT_number 1
_cell_length_a 4.7025
_cell_length_b 4.7025
_cell_length_c 3.0262
_cell_angle_alpha 90.00
_cell_angle_beta 90.00
_cell_angle_gamma 90.00
loop_
_space_group_symop_operation_xyz
'x,y,z'
loop_
_atom_site_label
_atom_site_type_symbol
_atom_site_fract_x
_atom_site_fract_y
_atom_site_fract_z
_atom_site_occupancy
La1 La 0.0000 0.0000 0.0000 1
Fe1 Fe 0.0000 0.5000 0.5000 1
Fe2 Fe 0.5000 0.0000 0.5000 1
W1 W 0.5000 0.5000 0.0000 1
# offset from the most stable computed form: 347 meV per atom
# volume: 66.9 Å³/cell
# formation energy from the elements: 0.60 eV/atom

***

# 2
# LiAsPd2 PBE-GGA optimized geometry
data_LiAsPd2
_chemical_formula_sum 'Li4 As4 Pd8'
_space_group_name_H-M_alt 'P 1'
_space_group_IT_number 1
_cell_length_a 6.9831
_cell_length_b 6.9831
_cell_length_c 5.5247
_cell_angle_alpha 90.00
_cell_angle_beta 90.00
_cell_angle_gamma 90.00
loop_
_space_group_symop_operation_xyz
'x,y,z'
loop_
_atom_site_label
_atom_site_type_symbol
_atom_site_fract_x
_atom_site_fract_y
_atom_site_fract_z
_atom_site_occupancy
Li1 Li 0.0000 0.0000 0.0000 1
Li2 Li 0.0000 0.5000 0.2500 1
Li3 Li 0.5000 0.0000 0.7500 1
Li4 Li 0.5000 0.5000 0.5000 1
As1 As 0.0000 0.0000 0.5000 1
As2 As 0.0000 0.5000 0.7500 1
As3 As 0.5000 0.0000 0.2500 1
As4 As 0.5000 0.5000 0.0000 1
Pd1 Pd 0.2224 0.2500 0.6250 1
Pd2 Pd 0.2500 0.7224 0.8750 1
Pd3 Pd 0.2500 0.7776 0.3750 1
Pd4 Pd 0.2776 0.2500 0.1250 1
Pd5 Pd 0.7224 0.7500 0.1250 1
Pd6 Pd 0.7500 0.2224 0.3750 1
Pd7 Pd 0.7500 0.2776 0.8750 1
Pd8 Pd 0.7776 0.7500 0.6250 1
# volume: 269.4 Å³/cell
# formation energy from the elements: -0.25 eV/atom

***

# 3
# CdAg3Sn3 PBE-GGA optimized geometry
data_CdAg3Sn3
_chemical_formula_sum 'Cd2 Ag6 Sn6'
_space_group_name_H-M_alt 'P 1'
_space_group_IT_number 1
_cell_length_a 7.7255
_cell_length_b 7.7255
_cell_length_c 7.7255
_cell_angle_alpha 90.00
_cell_angle_beta 90.00
_cell_angle_gamma 90.00
loop_
_space_group_symop_operation_xyz
'x,y,z'
loop_
_atom_site_label
_atom_site_type_symbol
_atom_site_fract_x
_atom_site_fract_y
_atom_site_fract_z
_atom_site_occupancy
Cd1 Cd 0.0000 0.0000 0.0000 1
Cd2 Cd 0.5000 0.5000 0.5000 1
Ag1 Ag 0.0000 0.2500 0.5000 1
Ag2 Ag 0.0000 0.7500 0.5000 1
Ag3 Ag 0.2500 0.5000 0.0000 1
Ag4 Ag 0.5000 0.0000 0.2500 1
Ag5 Ag 0.5000 0.0000 0.7500 1
Ag6 Ag 0.7500 0.5000 0.0000 1
Sn1 Sn 0.0000 0.5000 0.2500 1
Sn2 Sn 0.0000 0.5000 0.7500 1
Sn3 Sn 0.2500 0.0000 0.5000 1
Sn4 Sn 0.5000 0.2500 0.0000 1
Sn5 Sn 0.5000 0.7500 0.0000 1
Sn6 Sn 0.7500 0.0000 0.5000 1
# volume: 461.1 Å³/cell
# formation energy from the elements: 0.49 eV/atom

***

# 4
# Tb4Bi2AsSe PBE-GGA optimized geometry
data_Tb4Bi2AsSe
_chemical_formula_sum 'Tb4 Bi2 As1 Se1'
_space_group_name_H-M_alt 'P 1'
_space_group_IT_number 1
_cell_length_a 7.4253
_cell_length_b 4.2915
_cell_length_c 7.4998
_cell_angle_alpha 90.00
_cell_angle_beta 109.23
_cell_angle_gamma 90.00
loop_
_space_group_symop_operation_xyz
'x,y,z'
loop_
_atom_site_label
_atom_site_type_symbol
_atom_site_fract_x
_atom_site_fract_y
_atom_site_fract_z
_atom_site_occupancy
Tb1 Tb 0.2383 0.0000 0.2281 1
Tb2 Tb 0.2514 0.5000 0.7690 1
Tb3 Tb 0.7486 0.5000 0.2310 1
Tb4 Tb 0.7617 0.0000 0.7719 1
Bi1 Bi 0.0000 0.0000 0.5000 1
Bi2 Bi 0.5000 0.5000 0.5000 1
As1 As 0.0000 0.5000 0.0000 1
Se1 Se 0.5000 0.0000 0.0000 1
# E_tot: -5.567 eV per atom
# volume: 225.7 Å³/cell

***

Number 1: D(E_F) 1.421 states/eV per atom. Number 2: D(E_F) 0.384 states/eV per atom. Number 3: D(E_F) 0.958 states/eV per atom. Number 4: D(E_F) 0.196 states/eV per atom.